No. 1
Density functional theory data (PBE) for an optimized crystal structure of TaSnB2.

a = 5.6177 Å, b = 5.6177 Å, c = 5.8059 Å
α = 61.07°, β = 61.07°, γ = 90.00°
Closest atoms and distances in Å follow each position.
Element x y z (fractional)
Sn 0.5000 0.5000 0.0000  4 B 2.30
B 0.8750 0.8893 0.7500  2 Ta 2.20, 2 Sn 2.30
Ta 0.7500 0.2500 0.5000  4 B 2.20
B 0.1107 0.6250 0.2500  2 Ta 2.20, 2 Sn 2.30
B 0.6393 0.1250 0.2500  2 Ta 2.20, 2 Sn 2.30
B 0.3750 0.3607 0.7500  2 Ta 2.20, 2 Sn 2.30
Sn 0.2500 0.7500 0.5000  4 B 2.30
Ta 0.0000 0.0000 0.0000  4 B 2.20

Computed properties:
Calculated formation energy = 0.776 eV/atom

=====

No. 2
Density functional theory data (PBE) for an optimized crystal structure of Ta5Sn2B2.

a = 6.3916 Å, b = 6.3757 Å, c = 7.9022 Å
α = 90.00°, β = 66.15°, γ = 90.00°
Closest atoms and distances in Å follow each position.
Element x y z (fractional)
B 0.3913 0.8950 0.0000  1 B 1.93
Ta 0.2772 0.6809 0.7912  3 B 2.40-2.47
B 0.8913 0.6050 0.0000  1 B 1.93
B 0.6087 0.1050 0.0000  1 B 1.93
Sn 0.7733 0.0000 0.4534  6 Ta 2.91-2.97, 2 Sn 3.26
Ta 0.5684 0.8191 0.2088  3 B 2.40-2.47
Ta 0.7228 0.3191 0.2088  3 B 2.40-2.47
B 0.1087 0.3950 0.0000  1 B 1.93
Sn 0.7267 0.5000 0.5466  6 Ta 2.91-2.97, 2 Sn 3.26
Ta 0.0684 0.6809 0.2088  3 B 2.40-2.47
Sn 0.2267 0.0000 0.5466  6 Ta 2.91-2.97, 2 Sn 3.26
Ta 0.7772 0.8191 0.7912  3 B 2.40-2.47
Ta 0.2228 0.1809 0.2088  3 B 2.40-2.47
Ta 0.5000 0.5000 0.0000  4 B 2.59-2.61, 8 Ta 2.76-2.83
Ta 0.0000 0.0000 0.0000  4 B 2.59-2.61, 8 Ta 2.76-2.83
Ta 0.4316 0.1809 0.7912  3 B 2.40-2.47
Sn 0.2733 0.5000 0.4534  6 Ta 2.91-2.97, 2 Sn 3.26
Ta 0.9316 0.3191 0.7912  3 B 2.40-2.47

Computed properties:
Calculated formation energy = -0.247 eV/atom

=====

No. 3
Density functional theory data (PBE) for an optimized crystal structure of TaSnB2W.

a = 4.1411 Å, b = 5.2046 Å, c = 4.1411 Å
α = 90.00°, β = 90.00°, γ = 90.00°
Closest atoms and distances in Å follow each position.
Element x y z (fractional)
Sn 0.0000 0.5000 0.0000  2 W 2.60
B 0.5000 0.0000 0.0000  2 W 2.07
Ta 0.5000 0.5000 0.5000  4 Sn 2.93
B 0.0000 0.0000 0.5000  2 W 2.07
W 0.0000 0.0000 0.0000  4 B 2.07

Computed properties:
Calculated formation energy = 1.538 eV/atom

=====

No. 4
Density functional theory data (PBE) for an optimized crystal structure of TcSnB2.

a = 5.0695 Å, b = 5.0695 Å, c = 6.1623 Å
α = 65.71°, β = 65.71°, γ = 90.00°
Closest atoms and distances in Å follow each position.
Element x y z (fractional)
B 0.1783 0.6250 0.2500  2 Tc 2.04
B 0.3750 0.4283 0.7500  2 Tc 2.04
Tc 0.2500 0.7500 0.5000  4 B 2.04
B 0.5717 0.1250 0.2500  2 Tc 2.04
Sn 0.7500 0.2500 0.5000  4 B 2.35
Tc 0.5000 0.5000 0.0000  4 B 2.04
Sn 0.0000 0.0000 0.0000  4 B 2.35
B 0.8750 0.8217 0.7500  2 Tc 2.04

Computed properties:
Calculated formation energy = 0.711 eV/atom

=====

No. 5
Density functional theory data (PBE) for an optimized crystal structure of Tc2SnB2.

a = 2.9899 Å, b = 2.9899 Å, c = 7.4082 Å
α = 78.36°, β = 78.36°, γ = 90.00°
Closest atoms and distances in Å follow each position.
Element x y z (fractional)
Sn 0.0000 0.0000 0.0000  8 Tc 2.84, 4 Sn 2.99
Tc 0.3660 0.3660 0.2681  4 B 2.22
B 0.7500 0.2500 0.5000  4 B 2.11, 4 Tc 2.22
B 0.2500 0.7500 0.5000  4 B 2.11, 4 Tc 2.22
Tc 0.6340 0.6340 0.7319  4 B 2.22

Computed properties:
Calculated formation energy = 0.084 eV/atom
ΔE to the lowest computed polymorph = 0.0000 eV per atom

=====

No. 6
Density functional theory data (PBE) for an optimized crystal structure of Tc2SnB2.

a = 6.6630 Å, b = 6.6630 Å, c = 2.9118 Å
α = 90.00°, β = 90.00°, γ = 90.00°
Closest atoms and distances in Å follow each position.
Element x y z (fractional)
Sn 0.0000 0.0000 0.0000  4 Tc 2.56
Tc 0.3574 0.8574 0.0000  6 B 2.32-2.60, 2 Sn 2.56
Tc 0.6426 0.1426 0.0000  6 B 2.32-2.60, 2 Sn 2.56
Sn 0.5000 0.5000 0.0000  4 Tc 2.56
B 0.6288 0.8712 0.5000  6 Tc 2.32-2.60, 1 B 2.43
B 0.8712 0.3712 0.5000  6 Tc 2.32-2.60, 1 B 2.43
Tc 0.1426 0.3574 0.0000  6 B 2.32-2.60, 2 Sn 2.56
Tc 0.8574 0.6426 0.0000  6 B 2.32-2.60, 2 Sn 2.56
B 0.1288 0.6288 0.5000  6 Tc 2.32-2.60, 1 B 2.43
B 0.3712 0.1288 0.5000  6 Tc 2.32-2.60, 1 B 2.43

Computed properties:
Calculated formation energy = 0.410 eV/atom
ΔE to the lowest computed polymorph = 0.3256 eV per atom

=====

No. 7
Density functional theory data (PBE) for an optimized crystal structure of TiTcSnB2.

a = 4.1311 Å, b = 5.1560 Å, c = 4.1311 Å
α = 90.00°, β = 90.00°, γ = 90.00°
Closest atoms and distances in Å follow each position.
Element x y z (fractional)
Sn 0.0000 0.5000 0.0000  2 Ti 2.58
B 0.0000 0.0000 0.5000  2 Ti 2.07
B 0.5000 0.0000 0.0000  2 Ti 2.07
Ti 0.0000 0.0000 0.0000  4 B 2.07
Tc 0.5000 0.5000 0.5000  4 Sn 2.92

Computed properties:
Calculated formation energy = 1.608 eV/atom

=====

No. 8
Density functional theory data (PBE) for an optimized crystal structure of Sn2BTe.

a = 6.2858 Å, b = 6.2858 Å, c = 6.9871 Å
α = 63.27°, β = 63.27°, γ = 90.00°
Closest atoms and distances in Å follow each position.
Element x y z (fractional)
Te 0.7500 0.2500 0.5000  4 Sn 3.02
Te 0.0000 0.0000 0.0000  4 Sn 3.02
Sn 0.2250 0.6250 0.2500  2 B 2.27
B 0.5000 0.5000 0.0000  4 Sn 2.27
B 0.2500 0.7500 0.5000  4 Sn 2.27
Sn 0.5250 0.1250 0.2500  2 B 2.27
Sn 0.8750 0.7750 0.7500  2 B 2.27
Sn 0.3750 0.4750 0.7500  2 B 2.27

Computed properties:
ΔE_f (raw) = 0.31 eV/atom
ΔE to the lowest computed polymorph = 0.0000 eV per atom

=====

No. 9
Density functional theory data (PBE) for an optimized crystal structure of SnB3Te.

a = 4.4795 Å, b = 4.4795 Å, c = 4.4795 Å
α = 90.00°, β = 90.00°, γ = 90.00°
Closest atoms and distances in Å follow each position.
Element x y z (fractional)
B 0.0000 0.5000 0.0000  2 Te 2.24
B 0.0000 0.0000 0.5000  2 Te 2.24
Te 0.0000 0.0000 0.0000  6 B 2.24
Sn 0.5000 0.5000 0.5000  12 B 3.17
B 0.5000 0.0000 0.0000  2 Te 2.24

Computed properties:
ΔE_f (raw) = 2.00 eV/atom
ΔE to the lowest computed polymorph = 0.0565 eV per atom

=====

No. 10
Density functional theory data (PBE) for an optimized crystal structure of SnBTe2.

a = 6.9293 Å, b = 6.9293 Å, c = 6.6661 Å
α = 58.68°, β = 58.68°, γ = 90.00°
Closest atoms and distances in Å follow each position.
Element x y z (fractional)
Sn 0.0000 0.0000 0.0000  4 Te 3.18
Te 0.5263 0.1250 0.2500  2 B 2.32
Te 0.8750 0.7763 0.7500  2 B 2.32
Te 0.3750 0.4737 0.7500  2 B 2.32
B 0.2500 0.7500 0.5000  4 Te 2.32
B 0.5000 0.5000 0.0000  4 Te 2.32
Te 0.2237 0.6250 0.2500  2 B 2.32
Sn 0.7500 0.2500 0.5000  4 Te 3.18

Computed properties:
ΔE_f (raw) = 0.41 eV/atom
ΔE to the lowest computed polymorph = 0.0000 eV per atom

=====

No. 11
Density functional theory data (PBE) for an optimized crystal structure of SnB3Te.

a = 4.5734 Å, b = 4.5734 Å, c = 4.5734 Å
α = 90.00°, β = 90.00°, γ = 90.00°
Closest atoms and distances in Å follow each position.
Element x y z (fractional)
B 0.0000 0.5000 0.0000  2 Sn 2.29
Te 0.5000 0.5000 0.5000  12 B 3.23
B 0.5000 0.0000 0.0000  2 Sn 2.29
Sn 0.0000 0.0000 0.0000  6 B 2.29
B 0.0000 0.0000 0.5000  2 Sn 2.29

Computed properties:
ΔE_f (raw) = 1.95 eV/atom
ΔE to the lowest computed polymorph = 0.0000 eV per atom

=====

No. 12
Density functional theory data (PBE) for an optimized crystal structure of SnBTe2.

a = 5.1391 Å, b = 5.1391 Å, c = 5.1391 Å
α = 60.00°, β = 60.00°, γ = 60.00°
Closest atoms and distances in Å follow each position.
Element x y z (fractional)
B 0.0000 0.0000 0.0000  8 Te 3.15
Te 0.2500 0.2500 0.2500  4 B 3.15, 4 Sn 3.15
Sn 0.5000 0.5000 0.5000  8 Te 3.15
Te 0.7500 0.7500 0.7500  4 Sn 3.15, 4 B 3.15

Computed properties:
ΔE_f (raw) = 1.01 eV/atom
ΔE to the lowest computed polymorph = 0.6006 eV per atom

=====

No. 13
Density functional theory data (PBE) for an optimized crystal structure of SnBTe3.

a = 5.7171 Å, b = 5.7171 Å, c = 5.7171 Å
α = 90.00°, β = 90.00°, γ = 90.00°
Closest atoms and distances in Å follow each position.
Element x y z (fractional)
B 0.5000 0.5000 0.5000  12 Te 4.04
Te 0.0000 0.0000 0.5000  2 Sn 2.86
Sn 0.0000 0.0000 0.0000  6 Te 2.86
Te 0.0000 0.5000 0.0000  2 Sn 2.86
Te 0.5000 0.0000 0.0000  2 Sn 2.86

Computed properties:
ΔE_f (raw) = 1.37 eV/atom
ΔE to the lowest computed polymorph = 0.8488 eV per atom

=====

No. 14
Density functional theory data (PBE) for an optimized crystal structure of SnBTe2.

a = 9.5800 Å, b = 9.5800 Å, c = 9.5800 Å
α = 21.02°, β = 21.02°, γ = 21.02°
Closest atoms and distances in Å follow each position.
Element x y z (fractional)
B 0.5000 0.5000 0.5000  6 Te 2.50
Sn 0.0000 0.0000 0.0000  2 Te 3.21, 6 Sn 3.50
Te 0.8856 0.8856 0.8856  3 B 2.50
Te 0.1144 0.1144 0.1144  3 B 2.50

Computed properties:
ΔE_f (raw) = 0.55 eV/atom
ΔE to the lowest computed polymorph = 0.1412 eV per atom

=====

No. 15
Density functional theory data (PBE) for an optimized crystal structure of Sn2BTe.

a = 5.1264 Å, b = 5.1264 Å, c = 5.1264 Å
α = 60.00°, β = 60.00°, γ = 60.00°
Closest atoms and distances in Å follow each position.
Element x y z (fractional)
B 0.0000 0.0000 0.0000  8 Sn 3.14
Te 0.5000 0.5000 0.5000  8 Sn 3.14
Sn 0.7500 0.7500 0.7500  4 Te 3.14, 4 B 3.14
Sn 0.2500 0.2500 0.2500  4 Te 3.14, 4 B 3.14

Computed properties:
ΔE_f (raw) = 0.97 eV/atom
ΔE to the lowest computed polymorph = 0.6604 eV per atom

=====

No. 16
Density functional theory data (PBE) for an optimized crystal structure of SnBTe3.

a = 4.9643 Å, b = 4.9643 Å, c = 4.9643 Å
α = 90.00°, β = 90.00°, γ = 90.00°
Closest atoms and distances in Å follow each position.
Element x y z (fractional)
Te 0.0000 0.5000 0.0000  2 B 2.48
Sn 0.5000 0.5000 0.5000  12 Te 3.51
Te 0.0000 0.0000 0.5000  2 B 2.48
B 0.0000 0.0000 0.0000  6 Te 2.48
Te 0.5000 0.0000 0.0000  2 B 2.48

Computed properties:
ΔE_f (raw) = 0.52 eV/atom
ΔE to the lowest computed polymorph = 0.0000 eV per atom

=====

No. 17
Density functional theory data (PBE) for an optimized crystal structure of Sn3BTe.

a = 4.9815 Å, b = 4.9815 Å, c = 4.9815 Å
α = 90.00°, β = 90.00°, γ = 90.00°
Closest atoms and distances in Å follow each position.
Element x y z (fractional)
B 0.0000 0.0000 0.0000  6 Sn 2.49
Sn 0.0000 0.0000 0.5000  2 B 2.49
Sn 0.5000 0.0000 0.0000  2 B 2.49
Te 0.5000 0.5000 0.5000  12 Sn 3.52
Sn 0.0000 0.5000 0.0000  2 B 2.49

Computed properties:
ΔE_f (raw) = 0.46 eV/atom
ΔE to the lowest computed polymorph = 0.0000 eV per atom

=====

No. 18
Density functional theory data (PBE) for an optimized crystal structure of Sn3BTe.

a = 5.8843 Å, b = 5.8843 Å, c = 5.8843 Å
α = 90.00°, β = 90.00°, γ = 90.00°
Closest atoms and distances in Å follow each position.
Element x y z (fractional)
Sn 0.0000 0.5000 0.0000  2 Te 2.94
Sn 0.5000 0.0000 0.0000  2 Te 2.94
Sn 0.0000 0.0000 0.5000  2 Te 2.94
Te 0.0000 0.0000 0.0000  6 Sn 2.94
B 0.5000 0.5000 0.5000  12 Sn 4.16

Computed properties:
ΔE_f (raw) = 1.59 eV/atom
ΔE to the lowest computed polymorph = 1.1332 eV per atom

=====

No. 19
Density functional theory data (PBE) for an optimized crystal structure of SnBTe2.

a = 8.4234 Å, b = 8.4234 Å, c = 8.4234 Å
α = 31.21°, β = 31.21°, γ = 31.21°
Closest atoms and distances in Å follow each position.
Element x y z (fractional)
B 0.0000 0.0000 0.0000  2 Te 2.07
Sn 0.5000 0.5000 0.5000  6 Te 3.26
Te 0.9140 0.9140 0.9140  1 B 2.07
Te 0.0860 0.0860 0.0860  1 B 2.07

Computed properties:
ΔE_f (raw) = 0.61 eV/atom
ΔE to the lowest computed polymorph = 0.2004 eV per atom

=====

No. 20
Density functional theory data (PBE) for an optimized crystal structure of ThSnB.

a = 3.2937 Å, b = 3.6812 Å, c = 11.3332 Å
α = 80.65°, β = 90.00°, γ = 90.00°
Closest atoms and distances in Å follow each position.
Element x y z (fractional)
Sn 0.2500 0.2930 0.4140  6 Sn 3.13-3.29, 2 Th 3.51
Th 0.7500 0.0736 0.8528  6 B 2.73-2.78
B 0.7500 0.4834 0.0331  2 B 1.81
Th 0.2500 0.9264 0.1472  6 B 2.73-2.78
B 0.2500 0.5166 0.9669  2 B 1.81
Sn 0.7500 0.7070 0.5860  6 Sn 3.13-3.29, 2 Th 3.51

Computed properties:
Calculated formation energy = -0.252 eV/atom

=====

no.,magnetic moment (μB per atom),N(E_F) (states/eV/atom)
1,0.000,0.2817
2,0.000,0.4489
3,0.059,0.7857
4,0.000,0.4052
5,0.167,0.7038
6,0.000,0.1619
7,0.470,0.6330
8,0.000,0.6122
9,0.000,0.5980
10,0.000,0.1751
11,0.000,0.4359
12,0.000,0.7698
13,0.000,1.0246
14,0.000,0.4903
15,0.000,0.5615
16,0.000,0.5933
17,0.000,0.5036
18,0.000,0.9926
19,0.002,0.8620
20,0.000,0.5114